The following is a PBE calculation of a relaxed structure of SiB3Ir, from Alexandria via LeMat-Bulk.

a = 4.121 Å, b = 4.121 Å, c = 4.121 Å
α = 90.00°, β = 90.00°, γ = 90.00°
Space group Pm-3m (No. 221)
One atom of each set of equivalent atoms:
Si1 0.000 0.000 0.000 (multiplicity 1)
B1 0.000 0.500 0.500 (multiplicity 3)
Ir1 0.500 0.500 0.500 (multiplicity 1)

Results
The calculation puts the uncorrected formation energy at 120 kJ/mol of atoms. The magnetic moment comes out at 0.000 μB/f.u. The calculation puts the calculated volume at 14.0 Å³/atom. The density is 5.995 g/cm3. Its energy above the most stable polymorph in this dataset is 0.000 eV per atom.

***

The following is a PBE calculation of a relaxed structure of SiB3Ir, from Alexandria via LeMat-Bulk.

a = 3.900 Å, b = 3.900 Å, c = 3.900 Å
α = 90.00°, β = 90.00°, γ = 90.00°
Space group Pm-3m (No. 221)
One atom of each set of equivalent atoms:
Si1 0.000 0.000 0.000 (multiplicity 1)
B1 0.000 0.000 0.500 (multiplicity 3)
Ir1 0.500 0.500 0.500 (multiplicity 1)

Results
The calculation puts the uncorrected formation energy at 171 kJ/mol of atoms. The magnetic moment comes out at 0.000 μB/f.u. The calculation puts the calculated volume at 11.9 Å³/atom. The density is 7.075 g/cm3. Its energy above the most stable polymorph in this dataset is 0.533 eV per atom.

***

The following is a PBE calculation of a relaxed structure of Si2BIr, from Alexandria via LeMat-Bulk.

a = 4.0830 Å, b = 4.0830 Å, c = 15.1368 Å
α = 90.00°, β = 90.00°, γ = 120.00°
Space group R-3m (No. 166, hexagonal axes)
One atom of each set of equivalent atoms:
Si1 0.0000 0.0000 0.1272 (multiplicity 6)
B1 0.0000 0.0000 0.0000 (multiplicity 3)
Ir1 0.0000 0.0000 0.5000 (multiplicity 3)

Results
The calculation puts the uncorrected formation energy at 46 kJ/mol of atoms. The magnetic moment comes out at 0.000 μB/f.u. The calculation puts the calculated volume at 18.2 Å³/atom. The density is 5.909 g/cm3.

***

Look up the calculated volume of the third one. 18.2 Å³/atom

***

Among the records above, which one has the highest uncorrected formation energy? number 2